*i*
{"formula": "KLiSn2", "functional": "PBE", "state": "optimized geometry", "magnetic_moment_mub_per_cell": 0.00, "dos_at_fermi_per_ev_cell": 0.6, "cell": [[-3.7355, 0.5529, 2.7787], [-3.8429, -2.5942, -0.6947], [-0.1174, -5.3654, 4.8649]], "species": ["Sn", "Sn", "Li", "K"], "frac_coords": [[0.2885, 0.2885, 0.1345], [0.0321, 0.0321, 0.9036], [0.6835, 0.6835, 0.9494], [0.4959, 0.4959, 0.5124]]}


*ii*
{"formula": "KLiSn2", "functional": "PBE", "state": "optimized geometry", "magnetic_moment_mub_per_cell": 0.00, "dos_at_fermi_per_ev_cell": 2.0, "cell": [[-0.5198, 2.3636, -3.9391], [3.3639, -5.9764, -1.3171], [-6.9123, -3.6138, -1.2563]], "species": ["K", "K", "Sn", "Sn", "Sn", "Sn", "Li", "Li"], "frac_coords": [[0.0454, 0.0908, 0.7500], [0.9546, 0.9092, 0.2500], [0.3291, 0.6582, 0.9386], [0.3291, 0.6582, 0.5614], [0.6709, 0.3418, 0.0614], [0.6709, 0.3418, 0.4386], [0.2333, 0.4665, 0.2500], [0.7667, 0.5335, 0.7500]]}


*iii*
{"formula": "KLiSn2", "functional": "PBE", "state": "optimized geometry", "magnetic_moment_mub_per_cell": 0.00, "dos_at_fermi_per_ev_cell": 0.0, "cell": [[0.0000, 3.8028, 3.8028], [3.8028, 0.0000, 3.8028], [3.8028, 3.8028, 0.0000]], "species": ["Li", "K", "Sn", "Sn"], "frac_coords": [[0.0000, 0.0000, 0.0000], [0.5000, 0.5000, 0.5000], [0.7500, 0.7500, 0.7500], [0.2500, 0.2500, 0.2500]]}


Ranking the structures above by energy, *ii* is first and the second is 6 meV per atom behind.